TmTl2Cr3F12 | GGA+U | relaxed Values from VASP.

Results
- Space group: No. 166
- Crystal system: trigonal
- Raw total energy: -5.782 eV per atom

The structure in Quantum ESPRESSO input format:
```
&SYSTEM
  ibrav = 0, nat = 18, ntyp = 4
/
ATOMIC_SPECIES
Tm 168.93 Tm.upf
Tl 204.38 Tl.upf
Cr 52.00 Cr.upf
F 19.00 F.upf
CELL_PARAMETERS angstrom
7.738 0.060 0.042
3.873 6.699 0.042
3.873 2.254 6.308
ATOMIC_POSITIONS angstrom
Tm 0.000 0.000 0.000
Tl 9.170 5.338 3.786
Tl 6.314 3.675 2.607
Cr 3.869 0.030 0.021
Cr 1.936 3.349 0.021
Cr 1.936 1.127 3.154
F 7.277 4.236 5.809
F 12.090 7.037 2.149
F 9.757 8.362 5.931
F 9.578 2.929 2.077
F 12.090 4.355 5.931
F 7.277 6.882 2.077
F 8.206 4.777 0.584
F 3.394 1.975 4.243
F 5.726 0.651 0.462
F 5.905 6.084 4.315
F 3.394 4.658 0.462
F 8.206 2.130 4.315
```